A plane-wave DFT calculation with SCAN was carried out for CrMoOs2 at its PBEsol-relaxed geometry.

```
CrMoOs2
1.0
4.4660 -1.3490 0.0000
4.4660 1.3490 0.0000
-0.7796 0.0000 4.5825
Cr Mo Os
1 1 2
Cartesian
0.0000 0.0000 0.0000 Cr
6.5615 0.0000 1.1950 Mo
1.6898 0.0000 3.5031 Os
4.1555 0.0000 2.3958 Os
```

The density comes out at 15.89 g/cm³. The density of states at the Fermi level comes out at 3.3 states/eV/f.u. The space-group type is Cm (8). The calculation puts the total energy at -49.1213 eV/atom. Its formation energy is 0.136 eV/atom.

***

A plane-wave DFT calculation with SCAN was carried out for CrMoOs2 at its PBEsol-relaxed geometry.

```
CrMoOs2
1.0
2.6978 -3.7756 0.0000
2.6978 3.7756 0.0000
0.0000 0.0000 2.7044
Cr Mo Os
1 1 2
Cartesian
0.0000 0.0000 0.0000 Cr
2.6978 0.0000 0.0000 Mo
1.3489 1.8878 1.3522 Os
1.3489 -1.8878 1.3522 Os
```

The density comes out at 15.93 g/cm³. The density of states at the Fermi level comes out at 3.8 states/eV/f.u. The space-group type is Cmmm (65). The calculation puts the total energy at -49.1333 eV/atom. Its formation energy is 0.124 eV/atom.

***

A plane-wave DFT calculation with SCAN was carried out for CrMoOs2 at its PBEsol-relaxed geometry.

```
CrMoOs2
1.0
1.3511 0.7801 8.7697
-1.3511 0.7801 8.7697
0.0000 -1.5601 8.7697
Cr Mo Os
1 1 2
Cartesian
0.0000 0.0000 0.0000 Cr
0.0000 0.0000 6.5154 Mo
0.0000 0.0000 13.0804 Os
0.0000 0.0000 19.5426 Os
```

The density comes out at 15.82 g/cm³. The density of states at the Fermi level comes out at 3.1 states/eV/f.u. The space-group type is R3m (160). The calculation puts the total energy at -49.0044 eV/atom. Its formation energy is 0.253 eV/atom.

***

A plane-wave DFT calculation with SCAN was carried out for CrMoOs2 at its PBEsol-relaxed geometry.

```
CrMoOs2
1.0
2.8951 0.0000 0.0000
0.0000 4.3667 0.0000
0.0000 0.0000 4.3933
Cr Mo Os
1 1 2
Cartesian
0.0000 0.0000 0.0000 Cr
1.4475 0.0000 2.1967 Mo
0.0000 2.1833 2.1967 Os
1.4475 2.1833 0.0000 Os
```

The density comes out at 15.80 g/cm³. The density of states at the Fermi level comes out at 4.2 states/eV/f.u. The space-group type is Pmmm (47). The calculation puts the total energy at -48.9697 eV/atom. Its formation energy is 0.288 eV/atom.

***

A plane-wave DFT calculation with SCAN was carried out for CrMoOs2 at its PBEsol-relaxed geometry.

```
CrMoOs2
1.0
-1.9083 1.9083 3.7754
1.9083 -1.9083 3.7754
1.9083 1.9083 -3.7754
Cr Mo Os
1 1 2
Cartesian
0.0000 0.0000 0.0000 Cr
0.0000 0.0000 3.7754 Mo
1.9083 0.0000 1.8877 Os
0.0000 1.9083 1.8877 Os
```

The density comes out at 15.96 g/cm³. The density of states at the Fermi level comes out at 4.1 states/eV/f.u. The space-group type is I4/mmm (139). The calculation puts the total energy at -49.1594 eV/atom. Its formation energy is 0.098 eV/atom.

***

A plane-wave DFT calculation with SCAN was carried out for CrMoOs2 at its PBEsol-relaxed geometry.

```
CrMoOs2
1.0
1.4648 -2.2058 0.0000
1.4648 2.2058 0.0000
0.0000 0.0000 8.5958
Cr Mo Os
1 1 2
Cartesian
0.0000 0.0000 0.0000 Cr
1.4648 0.0000 6.5402 Mo
0.0000 0.0000 4.3238 Os
1.4648 0.0000 2.0169 Os
```

The density comes out at 15.80 g/cm³. The density of states at the Fermi level comes out at 4.5 states/eV/f.u. The space-group type is Cmm2 (35). The calculation puts the total energy at -48.8590 eV/atom. Its formation energy is 0.398 eV/atom.

***

A plane-wave DFT calculation with SCAN was carried out for Cr2MoOs at its PBEsol-relaxed geometry.

```
Cr2MoOs
1.0
2.9771 0.0000 0.0000
0.0000 4.1437 0.0000
0.0000 0.0000 4.2726
Cr Mo Os
2 1 1
Cartesian
0.0000 0.0000 0.0000 Cr
1.4886 0.0000 2.1363 Cr
0.0000 2.0719 2.1363 Mo
1.4886 2.0719 0.0000 Os
```

The density comes out at 12.29 g/cm³. The density of states at the Fermi level comes out at 3.7 states/eV/f.u. The space-group type is Pmmm (47). The calculation puts the total energy at -35.8318 eV/atom. Its formation energy is 0.052 eV/atom.

***

A plane-wave DFT calculation with SCAN was carried out for Cr2MoOs at its PBEsol-relaxed geometry.

```
Cr2MoOs
1.0
2.9525 0.0000 0.0000
0.0000 2.9525 0.0000
0.0000 0.0000 5.9470
Cr Mo Os
2 1 1
Cartesian
0.0000 0.0000 1.4411 Cr
0.0000 0.0000 4.5060 Cr
1.4762 1.4762 0.0000 Mo
1.4762 1.4762 2.9735 Os
```

The density comes out at 12.50 g/cm³. The density of states at the Fermi level comes out at 4.5 states/eV/f.u. The space-group type is P4/mmm (123). The calculation puts the total energy at -35.7845 eV/atom. Its formation energy is 0.099 eV/atom.

***

A plane-wave DFT calculation with SCAN was carried out for CrMoP at its PBEsol-relaxed geometry.

```
CrMoP
1.0
0.0000 2.8205 2.8205
2.8205 0.0000 2.8205
2.8205 2.8205 0.0000
Cr Mo P
1 1 1
Cartesian
0.0000 0.0000 0.0000 Cr
4.2308 4.2308 4.2308 Mo
2.8205 2.8205 2.8205 P
```

The density comes out at 6.62 g/cm³. The density of states at the Fermi level comes out at 2.8 states/eV/f.u. The space-group type is F-43m (216). The calculation puts the total energy at -20.9680 eV/atom. Its formation energy is 0.255 eV/atom.

***

A plane-wave DFT calculation with SCAN was carried out for CrMo2P at its PBEsol-relaxed geometry.

```
CrMo2P
1.0
2.8027 -3.1041 0.0000
2.8027 3.1041 0.0000
0.0000 0.0000 3.0316
Cr Mo P
1 2 1
Cartesian
0.0000 0.0000 0.0000 Cr
1.4014 1.5520 1.5158 Mo
1.4014 -1.5520 1.5158 Mo
2.8027 0.0000 0.0000 P
```

The density comes out at 8.65 g/cm³. The density of states at the Fermi level comes out at 3.3 states/eV/f.u. The space-group type is Cmmm (65). The calculation puts the total energy at -24.6186 eV/atom. Its formation energy is 0.020 eV/atom.

***

A plane-wave DFT calculation with SCAN was carried out for CrMo2P at its PBEsol-relaxed geometry.

```
CrMo2P
1.0
-1.5635 2.0293 4.1260
1.5635 -2.0293 4.1260
1.5635 2.0293 -4.1260
Cr Mo P
1 2 1
Cartesian
0.0000 0.0000 0.0000 Cr
1.5635 0.0000 2.0741 Mo
0.0000 2.0293 2.0519 Mo
0.0000 0.0000 4.1260 P
```

The density comes out at 8.72 g/cm³. The density of states at the Fermi level comes out at 2.3 states/eV/f.u. The space-group type is Immm (71). The calculation puts the total energy at -24.6708 eV/atom. Its formation energy is -0.032 eV/atom.

***

A plane-wave DFT calculation with SCAN was carried out for CrMoP at its PBEsol-relaxed geometry.

```
CrMoP
1.0
0.0000 2.7907 2.7907
2.7907 0.0000 2.7907
2.7907 2.7907 0.0000
Cr Mo P
1 1 1
Cartesian
0.0000 0.0000 0.0000 Cr
2.7907 2.7907 2.7907 Mo
1.3954 1.3954 1.3954 P
```

The density comes out at 6.83 g/cm³. The density of states at the Fermi level comes out at 1.9 states/eV/f.u. The space-group type is F-43m (216). The calculation puts the total energy at -21.4151 eV/atom. Its formation energy is -0.192 eV/atom.